# 1
# NbFeMo2

A relaxed structure of NbFeMo2 (PBE, OQMD).

abc: 6.2518 6.2518 6.2518
angles: 90.00 90.00 90.00
Space group F-43m (No. 216)
Unique sites:
Nb1 0.0000 0.0000 0.0000
Fe1 0.2500 0.2500 0.2500
Mo1 0.0000 0.0000 0.5000
Mo2 0.2500 0.2500 0.7500

Computed properties:
* total energy: -159.515 eV/cell
* magnetic moment: 0.316 μB per atom
* energy of formation from the pure elements: 0.0550 eV per atom

***

# 2
# LuSiIr2

A relaxed structure of LuSiIr2 (PBE, OQMD).

abc: 6.4359 6.4359 6.4359
angles: 90.00 90.00 90.00
Space group F-43m (No. 216)
Unique sites:
Lu1 0.0000 0.0000 0.0000
Si1 0.2500 0.2500 0.7500
Ir1 0.0000 0.0000 0.5000
Ir2 0.2500 0.2500 0.2500

Computed properties:
* total energy: -112.817 eV/cell
* magnetic moment: 0.098 μB per atom

***

# 3
# Dy3Zn2Si4Au2

A relaxed structure of Dy3Zn2Si4Au2 (PBE, OQMD).

abc: 4.1149 4.1704 24.5806
angles: 90.00 90.00 90.00
Space group Immm (No. 71)
Unique sites:
Dy1 0.0000 0.0000 0.0000
Dy2 0.0000 0.5000 0.1440
Zn1 0.0000 0.5000 0.4067
Si1 0.0000 0.0000 0.4525
Si2 0.0000 0.5000 0.3117
Au1 0.0000 0.0000 0.2518

Computed properties:
* total energy: -102.075 eV/cell
* magnetic moment: 0.000 μB per atom

***

# 4
# Y2HoFe8Ni

A relaxed structure of Y2HoFe8Ni (PBE, OQMD).

abc: 5.0315 5.0315 24.4382
angles: 90.00 90.00 120.00
Space group R-3m (No. 166, hexagonal axes)
Unique sites:
Y1 0.0000 0.0000 0.1416
Ho1 0.0000 0.0000 0.0000
Fe1 0.0000 0.0000 0.3330
Fe2 0.0009 0.5005 0.9192
Ni1 0.0000 0.0000 0.5000

Computed properties:
* total energy: -272.315 eV/cell
* magnetic moment: 1.392 μB per atom
* energy of formation from the pure elements: -0.1022 eV per atom

***

# 5
# CsZrTc

A relaxed structure of CsZrTc (PBE, OQMD).

abc: 6.6188 6.6188 6.6188
angles: 90.00 90.00 90.00
Space group F-43m (No. 216)
Unique sites:
Cs1 0.0000 0.0000 0.0000
Zr1 0.2500 0.2500 0.2500
Tc1 0.2500 0.2500 0.7500

Computed properties:
* total energy: -50.542 eV/cell
* magnetic moment: 0.423 μB per atom

***

# 6
# Tl2Te3Pd2

A relaxed structure of Tl2Te3Pd2 (PBE, OQMD).

abc: 7.4752 7.4752 13.3273
angles: 90.00 90.00 120.00
Space group R-3m (No. 166, hexagonal axes)
Unique sites:
Tl1 0.0000 0.0000 0.0000
Tl2 0.0000 0.0000 0.5000
Te1 0.0000 0.5000 0.0000
Pd1 0.0000 0.0000 0.2162

Computed properties:
* total energy: -72.156 eV/cell

***

# 7
# BaGdGa

A relaxed structure of BaGdGa (PBE, OQMD).

abc: 7.4556 7.4556 7.4556
angles: 90.00 90.00 90.00
Space group F-43m (No. 216)
Unique sites:
Ba1 0.0000 0.0000 0.0000
Gd1 0.2500 0.2500 0.2500
Ga1 0.2500 0.2500 0.7500

Computed properties:
* total energy: -32.181 eV/cell
* magnetic moment: 0.000 μB per atom

***

# 8
# ErLuO3

A relaxed structure of ErLuO3 (PBE, OQMD).

abc: 4.2024 4.2024 4.2024
angles: 90.00 90.00 90.00
Space group Pm-3m (No. 221)
Unique sites:
Er1 0.0000 0.0000 0.0000
Lu1 0.5000 0.5000 0.5000
O1 0.0000 0.0000 0.5000

Computed properties:
* total energy: -36.939 eV/cell
* magnetic moment: 0.000 μB per atom

***

# 9
# KSmTmTe3

A relaxed structure of KSmTmTe3 (PBE, OQMD).

abc: 4.6799 16.2896 12.0303
angles: 90.00 90.00 90.00
Space group Cmcm (No. 63)
Unique sites:
K1 0.0000 0.2441 0.2500
Sm1 0.0000 0.5000 0.0000
Tm1 0.0000 0.0354 0.7500
Te1 0.0000 0.1323 0.5503
Te2 0.0000 0.4275 0.7500

Computed properties:
* total energy: -107.913 eV/cell
* magnetic moment: 0.024 μB per atom

***

# 10
# NaSrNbPd

A relaxed structure of NaSrNbPd (PBE, OQMD).

abc: 7.3584 7.3584 7.3584
angles: 90.00 90.00 90.00
Space group F-43m (No. 216)
Unique sites:
Na1 0.0000 0.0000 0.0000
Sr1 0.0000 0.0000 0.5000
Nb1 0.2500 0.2500 0.7500
Pd1 0.2500 0.2500 0.2500

Computed properties:
* total energy: -61.256 eV/cell
* magnetic moment: 1.044 μB per atom

***

# 11
# HoScCS

A relaxed structure of HoScCS (PBE, OQMD).

abc: 3.5717 3.5717 12.3975
angles: 90.00 90.00 120.00
Space group P-3m1 (No. 164)
Unique sites:
Ho1 0.3333 0.6667 0.3909
Sc1 0.3333 0.6667 0.0974
C1 0.0000 0.0000 0.0000
C2 0.0000 0.0000 0.5000
S1 0.3333 0.6667 0.7632

Computed properties:
* total energy: -58.639 eV/cell
* magnetic moment: 0.002 μB per atom

***

# 12
# Y3Mg3CuPdAu

A relaxed structure of Y3Mg3CuPdAu (PBE, OQMD).

abc: 7.5136 7.5136 4.0419
angles: 90.00 90.00 120.00
Space group P-6 (No. 174)
Unique sites:
Y1 0.0813 0.7410 0.0000
Mg1 0.4253 0.0907 0.5000
Cu1 0.6667 0.3333 0.0000
Pd1 0.3333 0.6667 0.5000
Au1 0.0000 0.0000 0.5000

Computed properties:
* total energy: -41.090 eV/cell
* magnetic moment: 0.003 μB per atom